1.
! TaMo2AsH (PBE, relaxed); values from VASP
&SYSTEM
  ibrav = 0, nat = 5, ntyp = 4
/
ATOMIC_SPECIES
Ta 180.95 Ta.upf
Mo 95.94 Mo.upf
As 74.92 As.upf
H 1.01 H.upf
CELL_PARAMETERS angstrom
4.839 0.000 0.000
0.000 4.839 0.000
0.000 0.000 4.891
ATOMIC_POSITIONS crystal
Ta 0.000 0.000 0.000
Mo 0.000 0.500 0.000
Mo 0.500 0.000 0.000
As 0.000 0.000 0.500
H 0.500 0.500 0.500
! Total energy: -6.17 eV per atom
! Volume: 115 Å³/cell

2.
! InIrOs (PBE, relaxed); values from VASP
&SYSTEM
  ibrav = 0, nat = 3, ntyp = 3
/
ATOMIC_SPECIES
In 114.82 In.upf
Ir 192.22 Ir.upf
Os 190.23 Os.upf
CELL_PARAMETERS angstrom
0.000 3.056 3.056
3.056 0.000 3.056
3.056 3.056 0.000
ATOMIC_POSITIONS crystal
In 0.000 0.000 0.000
Ir 0.750 0.750 0.750
Os 0.500 0.500 0.500
! Total energy: -7.09 eV per atom
! Formation enthalpy at 0 K: 516 meV/atom
! Volume: 57 Å³/cell
! Relative energy among the computed polymorphs: 0.305 eV per atom

3.
! PtSBr2 (PBE, relaxed); values from VASP
&SYSTEM
  ibrav = 0, nat = 4, ntyp = 3
/
ATOMIC_SPECIES
Pt 195.08 Pt.upf
S 32.06 S.upf
Br 79.90 Br.upf
CELL_PARAMETERS angstrom
2.000 1.154 7.611
-2.000 1.154 7.611
0.000 -2.309 7.611
ATOMIC_POSITIONS crystal
Pt 0.000 0.000 0.000
S 0.500 0.500 0.500
Br 0.394 0.394 0.394
Br 0.606 0.606 0.606
! Total energy: -2.86 eV per atom
! Volume: 105 Å³/cell

4.
! Sm4Pd3Ru (PBE, relaxed); values from VASP
&SYSTEM
  ibrav = 0, nat = 8, ntyp = 3
/
ATOMIC_SPECIES
Sm 150.36 Sm.upf
Pd 106.42 Pd.upf
Ru 101.07 Ru.upf
CELL_PARAMETERS angstrom
3.523 0.000 0.000
0.000 3.523 0.000
0.000 0.000 14.446
ATOMIC_POSITIONS crystal
Sm 0.000 0.000 0.118
Sm 0.000 0.000 0.373
Sm 0.000 0.000 0.627
Sm 0.000 0.000 0.882
Pd 0.500 0.500 0.250
Pd 0.500 0.500 0.500
Pd 0.500 0.500 0.750
Ru 0.500 0.500 0.000
! Total energy: -6.14 eV per atom
! Formation enthalpy at 0 K: -673 meV/atom
! Volume: 179 Å³/cell